i.
Computed, not measured: an optimized crystal structure of LaZr3In at the PBE level of DFT.

Unit cell a=5.406 b=5.406 c=5.406 alpha=90.00 beta=90.00 gamma=90.00
Element x y z (fractional)
La: 0.000 0.000 0.000
Zr: 0.000 0.500 0.500
Zr: 0.500 0.000 0.500
Zr: 0.500 0.500 0.000
In: 0.500 0.500 0.500

Properties
- N(E_F): 1.504 states/eV/atom



ii.
Computed, not measured: an optimized crystal structure of LaZr3In at the PBE level of DFT.

Unit cell a=5.134 b=5.134 c=5.134 alpha=90.00 beta=90.00 gamma=90.00
Element x y z (fractional)
La: 0.000 0.000 0.000
Zr: 0.000 0.000 0.500
Zr: 0.000 0.500 0.000
Zr: 0.500 0.000 0.000
In: 0.500 0.500 0.500

Properties
- N(E_F): 0.562 states/eV/atom



Which of the structures shown above is the most stable? The most stable is i.